An optimized crystal structure of CoHgW. Source: Alexandria via LeMat-Bulk, functional PBE-GGA.

Lattice parameters (Å, degrees): 2.7606 4.2427 8.7468 90.00 95.37 90.00
Last column: nearest neighbours and their distance in Å.
Element x y z (fractional)
Co: 0.0551 0.2500 0.1706  6 W 2.50-2.79, 2 Co 2.76
Co: 0.9449 0.7500 0.8294  6 W 2.50-2.79, 2 Co 2.76
Hg: 0.2067 0.7500 0.3924  2 Hg 2.76, 2 Co 2.88, 2 W 2.99-3.00
Hg: 0.7933 0.2500 0.6076  2 Hg 2.76, 2 Co 2.88, 2 W 2.99-3.00
W: 0.3792 0.2500 0.9131  6 Co 2.50-2.79, 4 W 2.66-2.76
W: 0.6208 0.7500 0.0869  6 Co 2.50-2.79, 4 W 2.66-2.76

Results
SG	P2_1/m
electronic total energy	-6.40	eV/atom